No. 1
Material: AlAg2Rh
Method: DFT, PBE-GGA
State: optimized geometry

The structure in POSCAR format:
```
AlAg2Rh
1.0
2.8582 0.0000 0.0000
0.0000 4.1414 0.0000
0.0000 0.0000 5.4384
Rh Al Ag
1 1 2
Direct
0.5000 0.5000 0.7500
0.5000 0.5000 0.2500
0.0000 0.0000 0.0008
0.0000 0.0000 0.4992
```

Computed properties:
* E: -4.203 eV per atom
* size of the total moment: 0.00 Bohr magnetons per cell
* space group: Pmmm
* DOS(E_F): 0.731 states/eV/atom
* energy of formation: 0.00 eV/atom



No. 2
Material: K2ZrCl
Method: DFT, PBE-GGA
State: optimized geometry

The structure in POSCAR format:
```
K2ZrCl
1.0
-6.5019 0.0810 1.3501
-2.7336 -6.0183 -0.6408
5.3516 2.2545 3.2220
K Zr Cl
2 1 1
Direct
0.0000 0.0000 0.0000
0.5000 0.5000 0.0000
0.2500 0.7500 0.5000
0.7500 0.2500 0.5000
```

Computed properties:
* E: -2.729 eV per atom
* size of the total moment: 2.96 Bohr magnetons per cell
* relative energy among the computed polymorphs: 701 meV/atom
* space group: I4/mmm
* ΔE_f (raw): 40.42 kJ per mole of atoms
* DOS(E_F): 0.738 states/eV/atom



No. 3
Material: ZrAsSe
Method: DFT, PBE-GGA
State: optimized geometry

The structure in POSCAR format:
```
ZrAsSe
1.0
-0.0081 3.5116 2.9080
-3.4241 0.4925 2.9700
0.7164 -0.7193 4.4449
As Se Zr
1 1 1
Direct
0.5000 0.5000 0.5000
0.7500 0.7500 0.7500
0.0000 0.0000 0.0000
```

Computed properties:
* E: -5.734 eV per atom
* size of the total moment: 0.00 Bohr magnetons per cell
* space group: F-43m
* ΔE_f (raw): -16.72 kJ per mole of atoms
* DOS(E_F): 1.411 states/eV/atom



No. 4
Material: Zn2As
Method: DFT, PBE-GGA
State: optimized geometry

The structure in POSCAR format:
```
Zn2As
1.0
5.5612 0.0000 0.0000
0.0000 5.5612 0.0000
0.0000 0.0000 5.5612
Zn As
4 2
Direct
0.2500 0.7500 0.7500
0.7500 0.2500 0.7500
0.7500 0.7500 0.2500
0.2500 0.2500 0.2500
0.0000 0.0000 0.0000
0.5000 0.5000 0.5000
```

Computed properties:
* E: -2.126 eV per atom
* size of the total moment: 0.00 Bohr magnetons per cell
* relative energy among the computed polymorphs: 254 meV/atom
* space group: Pn-3m
* DOS(E_F): 0.512 states/eV/atom
* energy of formation: 0.27 eV/atom



No. 5
Material: LiCuPd6
Method: DFT, PBE-GGA
State: optimized geometry

The structure in POSCAR format:
```
LiCuPd6
1.0
-1.1869 -3.5501 -0.9755
1.3039 -3.4033 3.1289
-6.0404 -1.1527 3.8746
Li Cu Pd
1 1 6
Direct
0.0000 0.5000 0.5000
0.0000 0.0000 0.0000
0.2508 0.8733 0.6252
0.5016 0.2454 0.7513
0.2487 0.3772 0.1253
0.4984 0.7546 0.2487
0.7492 0.1267 0.3748
0.7513 0.6228 0.8747
```

Computed properties:
* E: -4.793 eV per atom
* size of the total moment: 0.00 Bohr magnetons per cell
* relative energy among the computed polymorphs: 0 meV/atom
* space group: C2/m
* DOS(E_F): 1.619 states/eV/atom
* energy of formation: -0.15 eV/atom



No. 6
Material: Al2CuCl
Method: DFT, PBE-GGA
State: optimized geometry

The structure in POSCAR format:
```
Al2CuCl
1.0
-0.8952 -0.0064 2.8631
-1.3093 -2.6668 -0.4153
6.2218 -3.3564 1.9379
Al Cu Cl
2 1 1
Direct
0.0000 0.0000 0.9640
0.0000 0.0000 0.5360
0.5000 0.5000 0.7500
0.5000 0.5000 0.2500
```

Computed properties:
* E: -3.424 eV per atom
* size of the total moment: 0.00 Bohr magnetons per cell
* relative energy among the computed polymorphs: 159 meV/atom
* space group: P4/mmm
* ΔE_f (raw): -6.46 kJ per mole of atoms
* DOS(E_F): 0.457 states/eV/atom



No. 7
Material: K2RbSrI5
Method: DFT, PBE-GGA
State: optimized geometry

The structure in POSCAR format:
```
K2RbSrI5
1.0
6.2512 0.0000 0.0000
0.0000 6.2512 0.0000
0.0000 0.0000 13.3084
K Rb Sr I
2 1 1 5
Direct
0.5000 0.5000 0.2788
0.5000 0.5000 0.7212
0.0000 0.0000 0.0000
0.0000 0.0000 0.5000
0.0000 0.5000 0.5000
0.5000 0.0000 0.5000
0.0000 0.0000 0.7428
0.0000 0.0000 0.2572
0.5000 0.5000 0.0000
```

Computed properties:
* E: -2.843 eV per atom
* size of the total moment: 0.00 Bohr magnetons per cell
* space group: P4/mmm
* ΔE_f (raw): -139.26 kJ per mole of atoms
* DOS(E_F): 0.000 states/eV/atom



No. 8
Material: Rb3GaBr
Method: DFT, PBE-GGA
State: optimized geometry

The structure in POSCAR format:
```
Rb3GaBr
1.0
6.6206 0.0000 0.0000
0.0000 6.6206 0.0000
0.0000 0.0000 6.6206
Ga Br Rb
1 1 3
Direct
0.5000 0.5000 0.5000
0.0000 0.0000 0.0000
0.0000 0.5000 0.0000
0.0000 0.0000 0.5000
0.5000 0.0000 0.0000
```

Computed properties:
* E: -1.950 eV per atom
* size of the total moment: 0.00 Bohr magnetons per cell
* relative energy among the computed polymorphs: 0 meV/atom
* space group: Pm-3m
* ΔE_f (raw): -41.46 kJ per mole of atoms
* DOS(E_F): 0.728 states/eV/atom